*one*
Entry from Alexandria: an optimized crystal structure of NpUN (PBE).

The calculation puts the calculated volume at 45 Å³/f.u. The total magnetization is 0.000 μB per atom. Its space group is P3m1, No. 156.

Cell: 4.445 3.422 3.422 Å, 120.00 90.00 90.00°
Sites, in units of the cell vectors:
U  0.668  0.000  0.000
N  0.003  0.333  0.667
Np  0.329  0.667  0.333


*two*
Entry from Alexandria: an optimized crystal structure of NpUN (PBE).

The calculation puts the calculated volume at 48 Å³/f.u. The total magnetization is 0.000 μB per atom. The value obtained for the density of states at the Fermi level is 1.96 states/eV per atom. Its space group is P2_1/m, No. 11.

Cell: 3.670 3.303 7.876 Å, 90.00 92.63 90.00°
Sites, in units of the cell vectors:
N  0.216  0.750  0.151
N  0.784  0.250  0.849
Np  0.639  0.750  0.591
Np  0.361  0.250  0.409
U  0.733  0.250  0.146
U  0.267  0.750  0.854


*three*
Entry from Alexandria: an optimized crystal structure of NpUN (PBE).

The calculation puts the calculated volume at 45 Å³/f.u. The total magnetization is 0.000 μB per atom. Its space group is I4mm, No. 107.

Cell: 3.442 3.442 4.500 Å, 112.48 112.48 90.00°
Sites, in units of the cell vectors:
Np  0.279  0.279  0.558
U  0.950  0.950  0.900
N  0.621  0.621  0.242


*four*
Entry from Alexandria: an optimized crystal structure of NpUN (PBE).

The calculation puts the calculated volume at 46 Å³/f.u. The total magnetization is 0.001 μB per atom. The value obtained for the density of states at the Fermi level is 1.78 states/eV per atom. Its space group is Cm, No. 8.

Cell: 3.307 3.307 4.928 Å, 80.00 80.00 60.77°
Sites, in units of the cell vectors:
Np  0.066  0.066  0.769
N  0.358  0.358  0.073
U  0.650  0.650  0.385


Which structure is the least stable? The one labeled *three*.


*one*
Entry from Alexandria: an optimized crystal structure of NpU2N4 (PBE).

The calculation puts the calculated volume at 100 Å³/f.u. The total magnetization is 1.005 μB per atom. The value obtained for the density of states at the Fermi level is 1.12 states/eV per atom. Its space group is R-3m, No. 166.

Cell: 3.649 3.649 8.946 Å, 78.23 78.23 60.00°
Sites, in units of the cell vectors:
U  0.610  0.610  0.171
U  0.390  0.390  0.829
N  0.303  0.303  0.092
N  0.697  0.697  0.908
N  0.884  0.884  0.347
N  0.116  0.116  0.653
Np  0.500  0.500  0.500


*two*
Entry from Alexandria: an optimized crystal structure of NpU2N4 (PBE).

The calculation puts the calculated volume at 115 Å³/f.u. The total magnetization is 1.000 μB per atom. The value obtained for the density of states at the Fermi level is 1.99 states/eV per atom. Its space group is Fd-3m, No. 227.

Cell: 6.873 6.873 6.873 Å, 120.00 120.00 90.01°
Sites, in units of the cell vectors:
U  0.625  0.875  0.250
U  0.625  0.375  0.750
U  0.625  0.375  0.250
U  0.125  0.375  0.750
N  0.861  0.139  0.278
N  0.833  0.611  0.222
N  0.861  0.139  0.722
N  0.389  0.611  0.778
N  0.861  0.583  0.722
N  0.389  0.167  0.778
N  0.389  0.611  0.222
N  0.417  0.139  0.278
Np  0.250  0.750  0.500
Np  0.000  0.000  0.000


Which structure is the least stable? The one labeled *one*.


*one*
Entry from Alexandria: an optimized crystal structure of NpVN (PBE).

The calculation puts the calculated volume at 39 Å³/f.u. The total magnetization is 0.000 μB per atom. The value obtained for the density of states at the Fermi level is 1.54 states/eV per atom. Its space group is P2_1/m, No. 11.

Cell: 4.790 3.197 5.225 Å, 90.00 99.77 90.00°
Sites, in units of the cell vectors:
N  0.011  0.750  0.759
N  0.989  0.250  0.241
V  0.771  0.750  0.052
V  0.229  0.250  0.948
Np  0.687  0.250  0.543
Np  0.313  0.750  0.457


*two*
Entry from Alexandria: an optimized crystal structure of NpVN (PBE).

The calculation puts the calculated volume at 40 Å³/f.u. The total magnetization is 0.448 μB per atom. The value obtained for the density of states at the Fermi level is 1.41 states/eV per atom. Its space group is P3m1, No. 156.

Cell: 2.919 2.919 5.454 Å, 90.00 90.00 120.00°
Sites, in units of the cell vectors:
V  0.667  0.333  0.229
N  0.000  0.000  0.038
Np  0.333  0.667  0.732


*three*
Entry from Alexandria: an optimized crystal structure of NpVN (PBE).

The calculation puts the calculated volume at 44 Å³/f.u. The total magnetization is 0.546 μB per atom. The value obtained for the density of states at the Fermi level is 2.12 states/eV per atom. Its space group is I4mm, No. 107.

Cell: 3.730 3.730 4.097 Å, 117.08 117.08 90.00°
Sites, in units of the cell vectors:
N  0.630  0.630  0.261
Np  0.287  0.287  0.573
V  0.933  0.933  0.866


Which structure is the least stable? The one labeled *three*.


*one*
Entry from Alexandria: an optimized crystal structure of ZrNpN (PBE).

The calculation puts the calculated volume at 53 Å³/f.u. The total magnetization is 0.375 μB per atom. The value obtained for the density of states at the Fermi level is 1.63 states/eV per atom. Its space group is Immm, No. 71.

Cell: 2.918 6.189 6.189 Å, 89.83 76.36 76.36°
Sites, in units of the cell vectors:
Np  0.143  0.857  0.857
Np  0.857  0.143  0.143
N  0.151  0.349  0.349
N  0.849  0.651  0.651
Zr  0.500  0.664  0.336
Zr  0.500  0.336  0.664


*two*
Entry from Alexandria: an optimized crystal structure of ZrNpN (PBE).

The calculation puts the calculated volume at 60 Å³/f.u. The total magnetization is 1.752 μB per atom. The value obtained for the density of states at the Fermi level is 1.82 states/eV per atom. Its space group is I4mm, No. 107.

Cell: 3.116 3.116 6.589 Å, 103.68 103.68 90.00°
Sites, in units of the cell vectors:
Np  0.312  0.312  0.624
N  0.515  0.515  0.030
Zr  0.023  0.023  0.046


Which structure is the least stable? The one labeled *one*.


*one*
Entry from Alexandria: an optimized crystal structure of Zr3NpN4 (PBE).

The calculation puts the calculated volume at 120 Å³/f.u. The total magnetization is 0.440 μB per atom. The value obtained for the density of states at the Fermi level is 0.86 states/eV per atom. Its space group is Pmmn, No. 59.

Cell: 4.666 6.683 7.713 Å, 90.00 90.00 90.00°
Sites, in units of the cell vectors:
Zr  0.564  0.336  0.749
Zr  0.064  0.181  0.500
Zr  0.064  0.664  0.751
Zr  0.564  0.336  0.251
Zr  0.564  0.819  0.000
Zr  0.064  0.664  0.249
N  0.564  0.183  0.500
N  0.564  0.158  0.000
N  0.064  0.337  0.249
N  0.064  0.817  0.000
N  0.064  0.842  0.500
N  0.564  0.663  0.251
N  0.564  0.663  0.749
N  0.064  0.337  0.751
Np  0.064  0.159  0.000
Np  0.564  0.841  0.500


*two*
Entry from Alexandria: an optimized crystal structure of Zr3NpN4 (PBE).

The calculation puts the calculated volume at 102 Å³/f.u. The total magnetization is 0.357 μB per atom. The value obtained for the density of states at the Fermi level is 0.81 states/eV per atom. Its space group is Cmmm, No. 65.

Cell: 3.299 5.725 5.725 Å, 70.83 90.00 90.00°
Sites, in units of the cell vectors:
N  0.000  0.755  0.745
N  0.000  0.245  0.255
N  0.500  0.249  0.749
N  0.500  0.751  0.251
Zr  0.500  0.000  0.500
Zr  0.000  0.000  0.000
Zr  0.000  0.500  0.500
Np  0.500  0.500  0.000


Which structure is the least stable? The one labeled *one*.


*one*
Entry from Alexandria: an optimized crystal structure of OsN2O2 (PBE).

The calculation puts the calculated volume at 56 Å³/f.u. The total magnetization is 0.514 μB per atom. The value obtained for the density of states at the Fermi level is 0.14 states/eV per atom. Its space group is P4/mmm, No. 123.

Cell: 3.812 3.812 3.846 Å, 90.00 90.00 90.00°
Sites, in units of the cell vectors:
N  0.500  0.500  0.500
N  0.000  0.000  0.500
O  0.500  0.000  0.000
O  0.000  0.500  0.000
Os  0.000  0.000  0.000


*two*
Entry from Alexandria: an optimized crystal structure of OsN2O2 (PBE).

The calculation puts the calculated volume at 43 Å³/f.u. The total magnetization is 0.000 μB per atom. The value obtained for the density of states at the Fermi level is 0.54 states/eV per atom. Its space group is P4/mmm, No. 123.

Cell: 3.557 3.557 3.394 Å, 90.00 90.00 90.00°
Sites, in units of the cell vectors:
N  0.000  0.500  0.000
N  0.500  0.000  0.000
O  0.000  0.000  0.000
O  0.000  0.000  0.500
Os  0.500  0.500  0.500


Which structure is the least stable? The one labeled *two*.


*one*
Entry from Alexandria: an optimized crystal structure of P2OsNO (PBE).

The calculation puts the calculated volume at 78 Å³/f.u. The total magnetization is 0.000 μB per atom. The value obtained for the density of states at the Fermi level is 0.48 states/eV per atom. Its space group is P4/mmm, No. 123.

Cell: 4.634 4.634 3.646 Å, 90.00 90.00 90.00°
Sites, in units of the cell vectors:
P  0.500  0.000  0.000
P  0.000  0.500  0.000
O  0.000  0.000  0.500
N  0.500  0.500  0.500
Os  0.000  0.000  0.000


*two*
Entry from Alexandria: an optimized crystal structure of P2OsNO (PBE).

The calculation puts the calculated volume at 55 Å³/f.u. The total magnetization is 0.000 μB per atom. The value obtained for the density of states at the Fermi level is 0.58 states/eV per atom. Its space group is P4/mmm, No. 123.

Cell: 3.839 3.839 3.730 Å, 90.00 90.00 90.00°
Sites, in units of the cell vectors:
O  0.000  0.000  0.500
Os  0.500  0.500  0.500
P  0.500  0.000  0.000
P  0.000  0.500  0.000
N  0.000  0.000  0.000


Which structure is the least stable? The one labeled *one*.


*one*
Entry from Alexandria: an optimized crystal structure of P2PtNO (PBE).

The calculation puts the calculated volume at 68 Å³/f.u. The total magnetization is 0.000 μB per atom. The value obtained for the density of states at the Fermi level is 0.60 states/eV per atom. Its space group is P4/mmm, No. 123.

Cell: 4.095 4.034 4.095 Å, 90.00 90.00 90.00°
Sites, in units of the cell vectors:
O  0.500  0.500  0.500
Pt  0.000  0.500  0.000
P  0.500  0.000  0.000
P  0.000  0.000  0.500
N  0.000  0.000  0.000


*two*
Entry from Alexandria: an optimized crystal structure of P2PtNO (PBE).

The calculation puts the calculated volume at 86 Å³/f.u. The total magnetization is 0.197 μB per atom. The value obtained for the density of states at the Fermi level is 0.62 states/eV per atom. Its space group is P4/mmm, No. 123.

Cell: 4.764 4.764 3.788 Å, 90.00 90.00 90.00°
Sites, in units of the cell vectors:
O  0.000  0.000  0.500
Pt  0.000  0.000  0.000
P  0.500  0.000  0.000
P  0.000  0.500  0.000
N  0.500  0.500  0.500


*three*
Entry from Alexandria: an optimized crystal structure of P2PtNO (PBE).

The calculation puts the calculated volume at 58 Å³/f.u. The total magnetization is 0.000 μB per atom. The value obtained for the density of states at the Fermi level is 0.56 states/eV per atom. Its space group is P4/mmm, No. 123.

Cell: 4.092 4.092 3.458 Å, 90.00 90.00 90.00°
Sites, in units of the cell vectors:
Pt  0.500  0.500  0.500
P  0.000  0.500  0.000
P  0.500  0.000  0.000
N  0.000  0.000  0.000
O  0.000  0.000  0.500


Which structure is the least stable? The one labeled *two*.


*one*
Entry from Alexandria: an optimized crystal structure of SbP2NO (PBE).

The calculation puts the calculated volume at 98 Å³/f.u. The total magnetization is 0.000 μB per atom. The value obtained for the density of states at the Fermi level is 0.72 states/eV per atom. Its space group is P4/mmm, No. 123.

Cell: 5.050 5.050 3.846 Å, 90.00 90.00 90.00°
Sites, in units of the cell vectors:
P  0.500  0.000  0.000
P  0.000  0.500  0.000
N  0.500  0.500  0.500
O  0.000  0.000  0.500
Sb  0.000  0.000  0.000


*two*
Entry from Alexandria: an optimized crystal structure of SbP2NO (PBE).

The calculation puts the calculated volume at 66 Å³/f.u. The total magnetization is 0.000 μB per atom. The value obtained for the density of states at the Fermi level is 0.53 states/eV per atom. Its space group is P4/mmm, No. 123.

Cell: 4.087 4.087 3.964 Å, 90.00 90.00 90.00°
Sites, in units of the cell vectors:
P  0.500  0.000  0.000
P  0.000  0.500  0.000
N  0.000  0.000  0.000
Sb  0.500  0.500  0.500
O  0.000  0.000  0.500


Which structure is the least stable? The one labeled *one*.


*one*
Entry from Alexandria: an optimized crystal structure of SnP2NO (PBE).

The calculation puts the calculated volume at 99 Å³/f.u. The total magnetization is 0.000 μB per atom. The value obtained for the density of states at the Fermi level is 0.86 states/eV per atom. Its space group is P4/mmm, No. 123.

Cell: 5.072 5.072 3.866 Å, 90.00 90.00 90.00°
Sites, in units of the cell vectors:
O  0.000  0.000  0.500
P  0.000  0.500  0.000
P  0.500  0.000  0.000
N  0.500  0.500  0.500
Sn  0.000  0.000  0.000


*two*
Entry from Alexandria: an optimized crystal structure of SnP2NO (PBE).

The calculation puts the calculated volume at 68 Å³/f.u. The total magnetization is 0.000 μB per atom. The value obtained for the density of states at the Fermi level is 0.84 states/eV per atom. Its space group is P4/mmm, No. 123.

Cell: 3.921 3.921 4.420 Å, 90.00 90.00 90.00°
Sites, in units of the cell vectors:
P  0.500  0.000  0.000
P  0.000  0.500  0.000
O  0.000  0.000  0.500
N  0.000  0.000  0.000
Sn  0.500  0.500  0.500


Which structure is the least stable? The one labeled *one*.


*one*
Entry from Alexandria: an optimized crystal structure of TcP2NO (PBE).

The calculation puts the calculated volume at 56 Å³/f.u. The total magnetization is 0.000 μB per atom. The value obtained for the density of states at the Fermi level is 0.73 states/eV per atom. Its space group is P4/mmm, No. 123.

Cell: 3.815 3.815 3.814 Å, 90.00 90.00 90.00°
Sites, in units of the cell vectors:
N  0.000  0.000  0.000
P  0.000  0.500  0.000
P  0.500  0.000  0.000
Tc  0.500  0.500  0.500
O  0.000  0.000  0.500


*two*
Entry from Alexandria: an optimized crystal structure of TcP2NO (PBE).

The calculation puts the calculated volume at 79 Å³/f.u. The total magnetization is 0.000 μB per atom. The value obtained for the density of states at the Fermi level is 0.66 states/eV per atom. Its space group is P4/mmm, No. 123.

Cell: 4.643 4.643 3.655 Å, 90.00 90.00 90.00°
Sites, in units of the cell vectors:
Tc  0.000  0.000  0.000
O  0.000  0.000  0.500
N  0.500  0.500  0.500
P  0.500  0.000  0.000
P  0.000  0.500  0.000


Which structure is the least stable? The one labeled *two*.


*one*
Entry from Alexandria: an optimized crystal structure of PtPb2NO (PBE).

The calculation puts the calculated volume at 111 Å³/f.u. The total magnetization is 0.000 μB per atom. The value obtained for the density of states at the Fermi level is 0.29 states/eV per atom. Its space group is Pm, No. 6.

Cell: 4.261 3.756 7.137 Å, 90.00 103.25 90.00°
Sites, in units of the cell vectors:
Pb  0.326  0.500  0.608
Pb  0.975  0.000  0.027
N  0.625  0.500  0.329
Pt  0.616  0.000  0.327
O  0.795  0.500  0.846


*two*
Entry from Alexandria: an optimized crystal structure of PtPb2NO (PBE).

The calculation puts the calculated volume at 100 Å³/f.u. The total magnetization is 0.000 μB per atom. The value obtained for the density of states at the Fermi level is 0.59 states/eV per atom. Its space group is Pm, No. 6.

Cell: 4.517 3.629 6.287 Å, 90.00 102.79 90.00°
Sites, in units of the cell vectors:
Pt  0.104  0.500  0.139
Pb  0.989  0.500  0.540
Pb  0.640  0.000  0.961
O  0.729  0.000  0.616
N  0.303  0.500  0.881


Which structure is the least stable? The one labeled *two*.